[1]
First-principles (PBE) data for a relaxed Pm6ZnBr8 crystal, as listed in Alexandria via LeMat-Bulk.

As for the formation energy (no corrections): -1.363 eV/atom. The density of states at the Fermi level comes out at 0.335 states/eV/atom.

The structure belongs to space group R-3 (No. 148, hexagonal axes); the cell edges are 7.2600, 7.2600 and 32.5836 Å and the angles 90.00°, 90.00° and 120.00°. Symmetry generates all atoms from Pm at (0.0000, 0.3154, 0.4482), Zn at (0.0000, 0.0000, 0.5000), Br at (0.0000, 0.0000, 0.1667) and Br at (0.0000, 0.3380, 0.6071).

---

[2]
First-principles (PBE) data for a relaxed PmZn2Br6 crystal, as listed in Alexandria via LeMat-Bulk.

As for the formation energy (no corrections): -1.081 eV/atom. The density of states at the Fermi level comes out at 0.205 states/eV/atom.

The structure belongs to space group C2/c (No. 15); the cell edges are 13.747, 12.814 and 8.407 Å and the angles 90.00°, 110.56° and 90.00°. Symmetry generates all atoms from Pm at (0.000, 0.081, 0.250), Zn at (0.182, 0.411, 0.247), Br at (0.102, 0.092, 0.628), Br at (0.137, 0.486, 0.959) and Br at (0.161, 0.212, 0.242).

---

[3]
First-principles (PBE) data for a relaxed PmZnBr crystal, as listed in Alexandria via LeMat-Bulk.

As for the formation energy (no corrections): -1.018 eV/atom. The density of states at the Fermi level comes out at 0.985 states/eV/atom.

The structure belongs to space group C2/m (No. 12); the cell edges are 7.267, 4.199 and 11.699 Å and the angles 90.00°, 91.14° and 90.00°. Symmetry generates all atoms from Pm at (0.006, 0.000, 0.182), Zn at (0.166, 0.500, 0.986) and Br at (0.177, 0.500, 0.337).

---

Short version: total DFT energy (no corrections) = -63.6 -27.1 -10.8 eV per formula unit, in the order given.
Short version: total magnetic moment = 0.000 0.000 0.000 Bohr magnetons per cell, in the order given.